1.
A relaxed structure of Tm2Tl4Pb, computed with GGA-PBE.

E_form: -43 meV per atom
Size of the total moment: 0.00 Bohr magnetons per cell
SG: C2/m
Fermi-level density of states: 10.33 states/eV/cell

a b c (Å): 16.475 3.598 7.920
angles (deg): 90.00 118.26 90.00
Positions (direct):
Tm 0.216 0.000 0.146
Tm 0.284 0.500 0.854
Tm 0.716 0.500 0.146
Tm 0.784 0.000 0.854
Tl 0.090 0.000 0.694
Tl 0.143 0.500 0.399
Tl 0.357 0.000 0.601
Tl 0.410 0.500 0.306
Tl 0.590 0.500 0.694
Tl 0.643 0.000 0.399
Tl 0.857 0.500 0.601
Tl 0.910 0.000 0.306
Pb 0.000 0.000 0.000
Pb 0.500 0.500 0.000

=====

2.
A relaxed structure of TmMg2Fe9, computed with GGA-PBE.

E_form: 11 meV per atom
Size of the total moment: 17.58 Bohr magnetons per cell
SG: R-3m
Fermi-level density of states: 13.80 states/eV/cell

a b c (Å): 8.356 8.356 8.356
angles (deg): 34.39 34.39 34.39
Positions (direct):
Tm 0.000 0.000 0.000
Mg 0.143 0.143 0.143
Mg 0.857 0.857 0.857
Fe 0.082 0.586 0.586
Fe 0.334 0.334 0.334
Fe 0.414 0.414 0.918
Fe 0.414 0.918 0.414
Fe 0.500 0.500 0.500
Fe 0.586 0.082 0.586
Fe 0.586 0.586 0.082
Fe 0.666 0.666 0.666
Fe 0.918 0.414 0.414

=====

3.
A relaxed structure of HfMg2Hg, computed with GGA-PBE.

E_form: 295 meV per atom
Size of the total moment: 0.00 Bohr magnetons per cell
SG: I-42d
Fermi-level density of states: 8.18 states/eV/cell

a b c (Å): 7.908 7.908 5.897
angles (deg): 90.00 90.00 90.00
Positions (direct):
Hf 0.000 0.000 0.000
Hf 0.000 0.500 0.250
Hf 0.500 0.000 0.750
Hf 0.500 0.500 0.500
Mg 0.219 0.250 0.625
Mg 0.250 0.719 0.875
Mg 0.250 0.781 0.375
Mg 0.281 0.250 0.125
Mg 0.719 0.750 0.125
Mg 0.750 0.219 0.375
Mg 0.750 0.281 0.875
Mg 0.781 0.750 0.625
Hg 0.000 0.000 0.500
Hg 0.000 0.500 0.750
Hg 0.500 0.000 0.250
Hg 0.500 0.500 0.000

=====

4.
A relaxed structure of ReNiMo2, computed with GGA-PBE.

E_form: 133 meV per atom
Size of the total moment: 0.00 Bohr magnetons per cell
SG: P4/mmm
Fermi-level density of states: 4.79 states/eV/cell

a b c (Å): 2.748 2.748 7.700
angles (deg): 90.00 90.00 90.00
Positions (direct):
Re 0.000 0.000 0.000
Ni 0.000 0.000 0.500
Mo 0.500 0.500 0.259
Mo 0.500 0.500 0.741

=====

5.
A relaxed structure of LiErGe, computed with GGA-PBE.

E_form: -557 meV per atom
Size of the total moment: 0.00 Bohr magnetons per cell
SG: F-43m

a b c (Å): 6.554 6.554 6.554
angles (deg): 90.00 90.00 90.00
Positions (direct):
Li 0.000 0.000 0.000
Li 0.000 0.500 0.500
Li 0.500 0.000 0.500
Li 0.500 0.500 0.000
Er 0.000 0.000 0.500
Er 0.000 0.500 0.000
Er 0.500 0.000 0.000
Er 0.500 0.500 0.500
Ge 0.250 0.250 0.250
Ge 0.250 0.750 0.750
Ge 0.750 0.250 0.750
Ge 0.750 0.750 0.250

=====

6.
A relaxed structure of KHf2Pd, computed with GGA-PBE.

E_form: 677 meV per atom
Size of the total moment: 0.00 Bohr magnetons per cell
SG: Fm-3m
Fermi-level density of states: 44.08 states/eV/cell

a b c (Å): 6.944 6.944 6.944
angles (deg): 90.00 90.00 90.00
Positions (direct):
K 0.000 0.000 0.000
K 0.000 0.500 0.500
K 0.500 0.000 0.500
K 0.500 0.500 0.000
Hf 0.250 0.250 0.250
Hf 0.250 0.250 0.750
Hf 0.250 0.750 0.250
Hf 0.250 0.750 0.750
Hf 0.750 0.250 0.250
Hf 0.750 0.250 0.750
Hf 0.750 0.750 0.250
Hf 0.750 0.750 0.750
Pd 0.000 0.000 0.500
Pd 0.000 0.500 0.000
Pd 0.500 0.000 0.000
Pd 0.500 0.500 0.500

=====

7.
A relaxed structure of Ce4Br2N, computed with GGA-PBE.

Size of the total moment: 4.56 Bohr magnetons per cell
SG: I4/mmm
Fermi-level density of states: 33.50 states/eV/cell
Formation energy from raw total energies: -786 meV/atom

a b c (Å): 4.710 4.710 15.316
angles (deg): 90.00 90.00 90.00
Positions (direct):
Ce 0.000 0.000 0.163
Ce 0.000 0.000 0.837
Ce 0.000 0.500 0.000
Ce 0.000 0.500 0.500
Ce 0.500 0.000 0.000
Ce 0.500 0.000 0.500
Ce 0.500 0.500 0.337
Ce 0.500 0.500 0.663
Br 0.000 0.000 0.363
Br 0.000 0.000 0.637
Br 0.500 0.500 0.137
Br 0.500 0.500 0.863
N 0.000 0.000 0.000
N 0.500 0.500 0.500

=====

8.
A relaxed structure of AlCoSi2, computed with GGA-PBE.

Size of the total moment: 0.00 Bohr magnetons per cell
SG: P4/mmm
Fermi-level density of states: 2.38 states/eV/cell
Formation energy from raw total energies: 61 meV/atom

a b c (Å): 3.698 3.698 3.690
angles (deg): 90.00 90.00 90.00
Positions (direct):
Al 0.000 0.000 0.000
Co 0.500 0.500 0.000
Si 0.000 0.500 0.500
Si 0.500 0.000 0.500

=====

9.
A relaxed structure of DyInNi, computed with GGA-PBE.

E_form: -507 meV per atom
Size of the total moment: 0.00 Bohr magnetons per cell
SG: Pmma
Fermi-level density of states: 14.25 states/eV/cell

a b c (Å): 13.088 3.703 7.602
angles (deg): 90.00 90.00 90.00
Positions (direct):
Dy 0.045 0.000 0.220
Dy 0.250 0.000 0.852
Dy 0.455 0.000 0.220
Dy 0.545 0.000 0.780
Dy 0.750 0.000 0.148
Dy 0.955 0.000 0.780
In 0.119 0.500 0.572
In 0.250 0.500 0.195
In 0.381 0.500 0.572
In 0.619 0.500 0.428
In 0.750 0.500 0.805
In 0.881 0.500 0.428
Ni 0.092 0.500 0.943
Ni 0.250 0.000 0.451
Ni 0.408 0.500 0.943
Ni 0.592 0.500 0.057
Ni 0.750 0.000 0.549
Ni 0.908 0.500 0.057

=====

10.
A relaxed structure of CaZnAg2F, computed with GGA-PBE.

Size of the total moment: 0.00 Bohr magnetons per cell
SG: P4/mmm
Fermi-level density of states: 2.11 states/eV/cell
Formation energy from raw total energies: -283 meV/atom

a b c (Å): 4.756 4.756 5.934
angles (deg): 90.00 90.00 90.00
Positions (direct):
Ca 0.000 0.000 0.000
Zn 0.000 0.000 0.500
Ag 0.000 0.500 0.500
Ag 0.500 0.000 0.500
F 0.500 0.500 0.000

=====

11.
A relaxed structure of Hf6ZnSb2, computed with GGA-PBE.

Size of the total moment: 0.00 Bohr magnetons per cell
SG: P2_1/c
Fermi-level density of states: 8.98 states/eV/cell
Formation energy from raw total energies: -251 meV/atom

a b c (Å): 5.632 7.586 10.734
angles (deg): 90.00 120.93 90.00
Positions (direct):
Hf 0.089 0.038 0.218
Hf 0.089 0.462 0.718
Hf 0.154 0.703 0.045
Hf 0.154 0.797 0.545
Hf 0.406 0.166 0.034
Hf 0.406 0.334 0.534
Hf 0.594 0.666 0.466
Hf 0.594 0.834 0.966
Hf 0.846 0.203 0.455
Hf 0.846 0.297 0.955
Hf 0.911 0.538 0.282
Hf 0.911 0.962 0.782
Zn 0.500 0.000 0.500
Zn 0.500 0.500 0.000
Sb 0.353 0.105 0.740
Sb 0.353 0.395 0.240
Sb 0.647 0.605 0.760
Sb 0.647 0.895 0.260

=====

12.
A relaxed structure of Tb2Sm2Dy, computed with GGA-PBE.

E_form: 90 meV per atom
Size of the total moment: 0.00 Bohr magnetons per cell
SG: C2/c
Fermi-level density of states: 14.05 states/eV/cell

a b c (Å): 8.948 8.948 6.438
angles (deg): 104.01 104.01 41.71
Positions (direct):
Tb 0.012 0.801 0.848
Tb 0.199 0.988 0.652
Tb 0.801 0.012 0.348
Tb 0.988 0.199 0.152
Sm 0.194 0.421 0.351
Sm 0.421 0.194 0.851
Sm 0.579 0.806 0.149
Sm 0.806 0.579 0.649
Dy 0.423 0.577 0.250
Dy 0.577 0.423 0.750